VASP calculation (PBE) on Cs5Rb3Cl8 after structural relaxation.

a = 9.809 Å, b = 9.809 Å, c = 9.809 Å
α = 59.94°, β = 59.94°, γ = 59.94°
Element x y z (fractional)
Cs1 0.000 0.000 0.000
Cs2 0.000 0.500 0.500
Cs3 0.500 0.000 0.500
Cs4 0.500 0.500 0.000
Cs5 0.500 0.500 0.500
Rb1 0.000 0.000 0.500
Rb2 0.000 0.500 0.000
Rb3 0.500 0.000 0.000
Cl1 0.240 0.750 0.750
Cl2 0.246 0.246 0.246
Cl3 0.250 0.250 0.760
Cl4 0.250 0.760 0.250
Cl5 0.750 0.240 0.750
Cl6 0.750 0.750 0.240
Cl7 0.754 0.754 0.754
Cl8 0.760 0.250 0.250

Properties
V = 667 Å³/cell
N(E_F) = 0.000 states/eV per atom
Formation energy from raw total energies = -188 kJ/mol of atoms
E = -3.3249 eV/atom